A plane-wave DFT calculation with PBE-GGA was carried out for an optimized crystal structure of YZrCS.

Results
For the raw total energy, the calculation gives -8.3572 eV/atom. The space group is P-6m2. The crystal system is hexagonal.

Cell lengths 3.546, 3.546, 12.636 Å; angles 90.00, 90.00, 120.00 degrees
Element x y z (fractional)
Y (0.000, 0.000, 0.151)
Y (0.000, 0.000, 0.849)
Zr (0.333, 0.667, 0.357)
Zr (0.333, 0.667, 0.643)
C (0.667, 0.333, 0.266)
C (0.667, 0.333, 0.734)
S (0.000, 0.000, 0.500)
S (0.333, 0.667, 0.000)

***

A plane-wave DFT calculation with PBE-GGA was carried out for an optimized crystal structure of YZrCS.

Results
For the raw total energy, the calculation gives -8.3489 eV/atom. The space group is P-3m1. The crystal system is trigonal.

Cell lengths 3.562, 3.562, 12.608 Å; angles 90.00, 90.00, 120.00 degrees
Element x y z (fractional)
Y (0.333, 0.667, 0.392)
Y (0.667, 0.333, 0.608)
Zr (0.333, 0.667, 0.096)
Zr (0.667, 0.333, 0.904)
C (0.000, 0.000, 0.000)
C (0.000, 0.000, 0.500)
S (0.333, 0.667, 0.765)
S (0.667, 0.333, 0.235)

***

A plane-wave DFT calculation with PBE-GGA was carried out for an optimized crystal structure of YZr3C2S2.

Results
For the raw total energy, the calculation gives -8.6502 eV/atom. The space group is P3m1. The crystal system is trigonal.

Cell lengths 3.484, 3.484, 12.468 Å; angles 90.00, 90.00, 120.00 degrees
Element x y z (fractional)
Y (0.000, 0.000, 0.000)
Zr (0.000, 0.000, 0.698)
Zr (0.333, 0.667, 0.210)
Zr (0.333, 0.667, 0.502)
C (0.667, 0.333, 0.116)
C (0.667, 0.333, 0.600)
S (0.000, 0.000, 0.356)
S (0.333, 0.667, 0.841)

***

Which formula does entry 3 have?
YZr3C2S2

***

Which of these has the highest raw total energy?
number 2

***

What is the raw total energy in the second record?
-8.3489 eV/atom

***

raw total energy of number 1 (YZrCS)?
-8.3572 eV/atom